Density functional theory data (PBE) for a geometry-optimized YMgUO6 structure.

a b c (Å): 5.4289 5.4289 9.7458
angles (deg): 90.00 90.00 120.00
Last column: nearest neighbours and their distance in Å.
Fractional coordinates of all 18 atoms:
1 O 0.6497 0.9948 0.8631  1 U 2.07, 1 Mg 2.11, 1 Y 2.31
2 O 0.6549 0.6497 0.1369  1 U 2.07, 1 Mg 2.11, 1 Y 2.31
3 O 0.0052 0.6549 0.8631  1 U 2.07, 1 Mg 2.11, 1 Y 2.31
4 Y 0.0000 0.0000 0.0000  6 O 2.31
5 O 0.0052 0.3503 0.6369  1 U 2.07, 1 Mg 2.11, 1 Y 2.31
6 O 0.3503 0.0052 0.1369  1 U 2.07, 1 Mg 2.11, 1 Y 2.31
7 O 0.9948 0.3451 0.1369  1 U 2.07, 1 Mg 2.11, 1 Y 2.31
8 Mg 0.3333 0.6667 0.2500  6 O 2.11
9 O 0.3503 0.3451 0.3631  1 U 2.07, 1 Mg 2.11, 1 Y 2.31
10 Y 0.0000 0.0000 0.5000  6 O 2.31
11 O 0.3451 0.9948 0.6369  1 U 2.07, 1 Mg 2.11, 1 Y 2.31
12 Mg 0.6667 0.3333 0.7500  6 O 2.11
13 O 0.3451 0.3503 0.8631  1 U 2.07, 1 Mg 2.11, 1 Y 2.31
14 O 0.6497 0.6549 0.6369  1 U 2.07, 1 Mg 2.11, 1 Y 2.31
15 O 0.9948 0.6497 0.3631  1 U 2.07, 1 Mg 2.11, 1 Y 2.31
16 O 0.6549 0.0052 0.3631  1 U 2.07, 1 Mg 2.11, 1 Y 2.31
17 U 0.3333 0.6667 0.7500  6 O 2.07
18 U 0.6667 0.3333 0.2500  6 O 2.07

Its total magnetization is 0.092 μB per atom. The value obtained for the uncorrected formation energy is -25.82 eV/f.u. As for the space group: P-31c.